# GdBi2Au

A relaxed structure of GdBi2Au (PBE, the Alexandria database).

The structure in POSCAR format:
```
GdBi2Au
1.0
-2.519 -0.089 -3.604
2.711 -3.662 -1.804
-2.964 -3.255 2.152
Gd Bi Au
1 2 1
direct
0.500 0.500 0.500 Gd
0.000 0.500 0.000 Bi
0.000 0.000 0.500 Bi
0.500 0.000 0.000 Au
```

Output
Space-group type ... P4/mmm (123)
DOS at the Fermi energy ... 2.2 states/eV/f.u.
DFT total energy ... -27.069 eV/cell